Here is a relaxed Li2Zn2In crystal from Alexandria. Energies are from PBE.

Cell and atoms, written as extended XYZ:
```
5
Lattice="3.9488 0.0000 0.0000 0.0000 3.9488 0.0000 1.9744 1.9744 6.1549" Properties=species:S:1:pos:R:3 pbc="T T T"
Zn 1.9744 1.9744 1.2614
Zn 3.9488 3.9488 4.8935
Li 3.9488 1.9744 3.0774
Li 1.9744 3.9488 3.0774
In 0.0000 0.0000 0.0000
```

DOS(E_F): 2.1 states/eV/cell
E_form: -6 meV per atom
offset from the most stable computed form: 0.201 eV/atom
space-group type: I4/mmm, No. 139
total moment: 0.00 μB/cell